Record 1
This record from Alexandria describes a relaxed structure of In4BiCl6. The functional is PBE-GGA.

The space group is P4/mnc (No. 128) and the conventional cell measures 8.5294, 8.5294 and 9.5113 Å, with angles of 90.00, 90.00 and 90.00 degrees. Symmetry generates all atoms from In at (0.1469, 0.3531, 0.2500), Bi at (0.0000, 0.0000, 0.0000), Cl at (0.0000, 0.0000, 0.2881) and Cl at (0.1440, 0.7001, 0.0000).

Its energy is -33.5 eV per formula unit. The calculation puts the formation energy (no corrections) at -0.6927 eV per atom.

Record 2
This record from Alexandria describes a relaxed structure of TbPr4Sc2. The functional is PBE-GGA.

The space group is Ibam (No. 72) and the conventional cell measures 6.7305, 22.0451 and 6.1549 Å, with angles of 90.00, 90.00 and 90.00 degrees. Symmetry generates all atoms from Tb at (0.0000, 0.0000, 0.2500), Pr at (0.0956, 0.4131, 0.0000), Pr at (0.1030, 0.1346, 0.0000) and Sc at (0.1190, 0.2582, 0.5000).

Its energy is -34.7 eV per formula unit. The value obtained for the formation energy is 250 meV per atom.

Record 3
This record from Alexandria describes a relaxed structure of Pm3Sn4Au4. The functional is PBE-GGA.

The space group is Immm (No. 71) and the conventional cell measures 4.2347, 4.7591 and 27.4543 Å, with angles of 90.00, 90.00 and 90.00 degrees. Symmetry generates all atoms from Pm at (0.0000, 0.0000, 0.0000), Pm at (0.0000, 0.5000, 0.1514), Sn at (0.0000, 0.0000, 0.4490), Sn at (0.0000, 0.5000, 0.3093), Au at (0.0000, 0.0000, 0.2578) and Au at (0.0000, 0.5000, 0.4064).

Its energy is -50.2 eV per formula unit. The value obtained for the formation energy is -623 meV per atom.

Record 4
This record from Alexandria describes a relaxed structure of CaLa2Sm. The functional is PBE-GGA.

The space group is R3m (No. 160, hexagonal axes) and the conventional cell measures 3.7284, 3.7284 and 37.2961 Å, with angles of 90.00, 90.00 and 120.00 degrees. Symmetry generates all atoms from Ca at (0.0000, 0.0000, 0.0000), La at (0.0000, 0.0000, 0.5790), La at (0.0000, 0.0000, 0.7544) and Sm at (0.0000, 0.0000, 0.1667).

Its energy is -16.4 eV per formula unit. The value obtained for the formation energy is 33 meV per atom.

Question: energy of number 4 (CaLa2Sm)?
Answer: -16.4 eV per formula unit